--- 1 ---
The following is a GGA-PBE calculation of a geometry-optimized YPuAl2 structure, from Alexandria via LeMat-Bulk.

Cell lengths 7.191, 7.191, 7.191 Å; angles 90.00, 90.00, 90.00 degrees
Space group Fm-3m (No. 225)
Inequivalent atoms, fractional coordinates:
1 Y 0.000 0.000 0.000 [4 per cell]
2 Pu 0.000 0.000 0.500 [4 per cell]
3 Al 0.250 0.250 0.250 [8 per cell]


--- 2 ---
The following is a GGA-PBE calculation of a geometry-optimized YPuAl2 structure, from Alexandria via LeMat-Bulk.

Cell lengths 3.215, 3.215, 8.785 Å; angles 90.00, 90.00, 90.00 degrees
Space group P4/mmm (No. 123)
Inequivalent atoms, fractional coordinates:
1 Y 0.000 0.000 0.000 [1 per cell]
2 Pu 0.000 0.000 0.500 [1 per cell]
3 Al 0.500 0.500 0.250 [2 per cell]


--- 3 ---
The following is a GGA-PBE calculation of a geometry-optimized YPuAl2 structure, from Alexandria via LeMat-Bulk.

Cell lengths 5.130, 5.130, 3.543 Å; angles 90.00, 90.00, 90.00 degrees
Space group P4/mmm (No. 123)
Inequivalent atoms, fractional coordinates:
1 Y 0.000 0.000 0.000 [1 per cell]
2 Pu 0.500 0.500 0.000 [1 per cell]
3 Al 0.000 0.500 0.500 [2 per cell]


Ordering by calculated energy gives the sequence 2, 1, 3, with the first entry being the most stable.